Entry 1:
Pr8HoIn6: optimized geometry, PBE.

Calculated volume ... 33.3 Å³ per atom
Calculated density ... 6.60 g/cm³
Formation energy from the elements ... -0.248 eV/atom
Crystal system ... trigonal

Cell: 9.278 9.278 8.570 Å, 57.23 57.23 60.00°
Element x y z (fractional)
Pr 0.452 0.781 0.652
Pr 0.219 0.885 0.348
Pr 0.665 0.665 0.004
Pr 0.885 0.548 0.348
In 0.271 0.621 0.160
Pr 0.115 0.452 0.652
Pr 0.335 0.335 0.996
In 0.621 0.947 0.160
Ho 0.000 0.000 0.000
Pr 0.781 0.115 0.652
In 0.947 0.271 0.160
In 0.379 0.053 0.840
In 0.053 0.729 0.840
Pr 0.548 0.219 0.348
In 0.729 0.379 0.840

Entry 2:
PrHo6In: optimized geometry, PBE.

Calculated volume ... 30.2 Å³ per atom
Calculated density ... 8.57 g/cm³
Energy relative to the lowest polymorph listed for this composition ... 0.000 eV/f.u.
Formation energy from the elements ... -0.102 eV/atom
Crystal system ... tetragonal

Cell: 4.904 4.904 10.036 Å, 90.00 90.00 90.00°
Element x y z (fractional)
Ho 0.500 0.500 0.500
Pr 0.000 0.000 0.500
Ho 0.000 0.500 0.241
Ho 0.500 0.000 0.241
Ho 0.500 0.000 0.759
Ho 0.500 0.500 0.000
In 0.000 0.000 0.000
Ho 0.000 0.500 0.759